This record from Alexandria via LeMat-Bulk describes a relaxed RbIn2Pt crystal. The functional is PBE.

Cell lengths 6.4825, 6.4825, 16.0078 Å; angles 90.00, 90.00, 90.00 degrees
Space group I4_1/amd (No. 141, origin choice 2)
One atom of each set of equivalent atoms:
Rb: 0.0000 0.2500 0.3750 (multiplicity 4)
In: 0.0000 0.0000 0.0000 (multiplicity 8)
Pt: 0.0000 0.2500 0.8750 (multiplicity 4)

Values from the calculation:
Its crystal system is tetragonal. Its volume is 673 Å³ per cell. As for the density of states at the Fermi level: 8.31 states/eV/cell. As for the raw total energy: -3.269 eV per atom. The energy of formation from the pure elements is -0.15 eV/atom.